# 1
# PBE Tb5SmSc, relaxed
data_Tb5SmSc
_chemical_formula_sum 'Tb10 Sm2 Sc2'
_cell_length_a 8.049
_cell_length_b 11.409
_cell_length_c 6.028
_cell_angle_alpha 90.00
_cell_angle_beta 90.00
_cell_angle_gamma 90.00
_space_group_name_H-M_alt 'I m m 2'
_space_group_IT_number 44
loop_
_space_group_symop_operation_xyz
'x,y,z'
'-x,-y,z'
'-x,y,z'
'x,-y,z'
'x+1/2,y+1/2,z+1/2'
'-x+1/2,-y+1/2,z+1/2'
'-x+1/2,y+1/2,z+1/2'
'x+1/2,-y+1/2,z+1/2'
loop_
_atom_site_label
_atom_site_fract_x
_atom_site_fract_y
_atom_site_fract_z
_atom_site_occupancy
Tb1 0.000 0.000 0.000 1
Tb2 0.000 0.253 0.265 1
Tb3 0.176 0.500 0.768 1
Sm1 0.000 0.000 0.529 1
Sc1 0.000 0.500 0.268 1
# Distance to the lowest polymorph of the same formula, meV per atom: 876
# ΔH_f (0 K), meV per atom: 946

# 2
# PBE CaAl2Fe2Si, relaxed
data_CaAl2Fe2Si
_chemical_formula_sum 'Ca1 Al2 Fe2 Si1'
_cell_length_a 4.212
_cell_length_b 4.212
_cell_length_c 5.712
_cell_angle_alpha 90.00
_cell_angle_beta 90.00
_cell_angle_gamma 90.00
_space_group_name_H-M_alt 'P 4/m m m'
_space_group_IT_number 123
_space_group_name_Hall '-P 4 2'
loop_
_atom_site_label
_atom_site_fract_x
_atom_site_fract_y
_atom_site_fract_z
_atom_site_occupancy
Ca1 0.000 0.000 0.000 1
Al1 0.500 0.500 0.245 1
Fe1 0.000 0.500 0.500 1
Si1 0.000 0.000 0.500 1
# Formation energy without anion corrections, eV per formula unit: -1.07

# 3
# PBE YScBe2Ir, relaxed
data_YScBe2Ir
_chemical_formula_sum 'Y1 Sc1 Be2 Ir1'
_cell_length_a 4.700
_cell_length_b 4.700
_cell_length_c 5.006
_cell_angle_alpha 90.00
_cell_angle_beta 90.00
_cell_angle_gamma 90.00
_space_group_name_H-M_alt 'P 4/m m m'
_space_group_IT_number 123
_space_group_name_Hall '-P 4 2'
loop_
_atom_site_label
_atom_site_fract_x
_atom_site_fract_y
_atom_site_fract_z
_atom_site_occupancy
Y1 0.000 0.000 0.000 1
Sc1 0.500 0.500 0.500 1
Be1 0.000 0.500 0.000 1
Ir1 0.000 0.000 0.500 1
# ΔH_f (0 K), meV per atom: 1290

# 4
# PBE Cs2HfTaCl6, relaxed
data_Cs2HfTaCl6
_chemical_formula_sum 'Cs8 Hf4 Ta4 Cl24'
_cell_length_a 10.228
_cell_length_b 10.228
_cell_length_c 10.228
_cell_angle_alpha 90.00
_cell_angle_beta 90.00
_cell_angle_gamma 90.00
_space_group_name_H-M_alt 'F m -3 m'
_space_group_IT_number 225
_space_group_name_Hall '-F 4 2 3'
loop_
_atom_site_label
_atom_site_fract_x
_atom_site_fract_y
_atom_site_fract_z
_atom_site_occupancy
Cs1 0.250 0.250 0.250 1
Hf1 0.000 0.000 0.000 1
Ta1 0.000 0.000 0.500 1
Cl1 0.000 0.000 0.251 1
# Formation energy without anion corrections, eV per formula unit: -11.91

# 5
# PBE HfAlI3, relaxed
data_HfAlI3
_chemical_formula_sum 'Hf1 Al1 I3'
_cell_length_a 5.555
_cell_length_b 5.555
_cell_length_c 5.555
_cell_angle_alpha 90.00
_cell_angle_beta 90.00
_cell_angle_gamma 90.00
_space_group_name_H-M_alt 'P m -3 m'
_space_group_IT_number 221
_space_group_name_Hall '-P 4 2 3'
loop_
_atom_site_label
_atom_site_fract_x
_atom_site_fract_y
_atom_site_fract_z
_atom_site_occupancy
Hf1 0.000 0.000 0.000 1
Al1 0.500 0.500 0.500 1
I1 0.000 0.500 0.500 1
# Distance to the lowest polymorph of the same formula, meV per atom: 552
# Formation energy without anion corrections, eV per formula unit: 2.98

# 6
# PBE TlP2OsO, relaxed
data_TlP2OsO
_chemical_formula_sum 'Tl1 P2 Os1 O1'
_cell_length_a 4.902
_cell_length_b 4.902
_cell_length_c 3.728
_cell_angle_alpha 90.00
_cell_angle_beta 90.00
_cell_angle_gamma 90.00
_space_group_name_H-M_alt 'P 4/m m m'
_space_group_IT_number 123
_space_group_name_Hall '-P 4 2'
loop_
_atom_site_label
_atom_site_fract_x
_atom_site_fract_y
_atom_site_fract_z
_atom_site_occupancy
Tl1 0.000 0.000 0.000 1
P1 0.000 0.500 0.500 1
Os1 0.500 0.500 0.500 1
O1 0.500 0.500 0.000 1
# Distance to the lowest polymorph of the same formula, meV per atom: 0
# Formation energy without anion corrections, eV per formula unit: 0.63